Record 1
{"formula": "K2MgAs", "functional": "PBE", "state": "relaxed", "formation_energy_kj_per_mol_fu": -100, "relative_energy_kcal_per_mol_atoms": 3.05, "crystal_system": "monoclinic", "energy_ev_per_atom": -2.37, "cell": [[-0.0526, -4.0377, -2.0455], [0.3590, -2.4426, 4.8124], [-6.0729, -1.3420, 2.8053]], "species": ["K", "As", "K", "Mg"], "frac_coords": [[0.5000, 0.2831, 0.3098], [0.5000, 0.5674, 0.7412], [0.0000, 0.9860, 0.9036], [0.0000, 0.6634, 0.5453]]}

Record 2
{"formula": "KMg2As2", "functional": "PBE", "state": "relaxed", "formation_energy_kj_per_mol_fu": -184, "crystal_system": "tetragonal", "energy_ev_per_atom": -3.10, "cell": [[-7.7408, -3.0836, 0.3295], [2.2646, -5.0153, 6.2654], [-0.8143, 2.2697, 2.1112]], "species": ["As", "As", "Mg", "As", "Mg", "Mg", "K", "K", "Mg", "As"], "frac_coords": [[0.8347, 0.3347, 0.5000], [0.6653, 0.8347, 0.5000], [0.8726, 0.6274, 0.0000], [0.1653, 0.6653, 0.5000], [0.3726, 0.8726, 0.0000], [0.1274, 0.3726, 0.0000], [0.0000, 0.0000, 0.0000], [0.5000, 0.5000, 0.0000], [0.6274, 0.1274, 0.0000], [0.3347, 0.1653, 0.5000]]}

Record 3
{"formula": "K2MgAs", "functional": "PBE", "state": "relaxed", "formation_energy_kj_per_mol_fu": 17, "relative_energy_kcal_per_mol_atoms": 10.08, "crystal_system": "tetragonal", "energy_ev_per_atom": -2.07, "cell": [[3.6250, 0.0000, 0.0000], [0.0000, 3.6250, 0.0000], [0.0000, 0.0000, 10.4951]], "species": ["As", "K", "Mg", "K"], "frac_coords": [[0.5000, 0.5000, 0.7500], [0.0000, 0.0000, 0.9518], [0.5000, 0.5000, 0.2500], [0.0000, 0.0000, 0.5482]]}

Record 4
{"formula": "K2MgAs", "functional": "PBE", "state": "relaxed", "formation_energy_kj_per_mol_fu": -2, "relative_energy_kcal_per_mol_atoms": 8.96, "crystal_system": "monoclinic", "energy_ev_per_atom": -2.11, "cell": [[-0.5032, -8.1351, 1.4459], [1.8679, 1.6397, -4.1018], [3.8363, -3.6388, 0.2993]], "species": ["As", "K", "Mg", "K"], "frac_coords": [[0.5000, 0.5000, 0.0000], [0.0000, 0.0000, 0.0000], [0.0000, 0.5000, 0.5000], [0.5000, 0.0000, 0.5000]]}